A relaxed LiRh crystal. Source: Alexandria via LeMat-Bulk, functional PBEsol.

## Properties
**Total magnetic moment**: 0.0 Bohr magnetons per cell
**Theoretical density**: 6.5 g cm⁻³
**Energy of formation**: 0.2 kcal/mol of atoms
**Total energy**: -5.05 eV/atom

abc: 2.6802 2.6802 27.1800
angles: 90.00 90.00 120.00
Space group R-3m (No. 166, hexagonal axes)
One atom of each set of equivalent atoms:
Li  0.0000  0.0000  0.1176
Rh  0.0000  0.0000  0.3729

***

A relaxed LiRu2Rh crystal. Source: Alexandria via LeMat-Bulk, functional PBEsol.

## Properties
**Total magnetic moment**: 0.0 Bohr magnetons per cell
**Theoretical density**: 10.1 g cm⁻³
**Energy of formation**: 6.4 kcal/mol of atoms
**Total energy**: -7.33 eV/atom

abc: 3.562 3.562 4.059
angles: 90.00 90.00 90.00
Space group P4/mmm (No. 123)
One atom of each set of equivalent atoms:
Li  0.000  0.000  0.000
Ru  0.000  0.500  0.500
Rh  0.500  0.500  0.000

***

A relaxed Li4RuRh crystal. Source: Alexandria via LeMat-Bulk, functional PBEsol.

## Properties
**Total magnetic moment**: 8.3 Bohr magnetons per cell
**Theoretical density**: 5.4 g cm⁻³
**Energy of formation**: 7.0 kcal/mol of atoms
**Total energy**: -4.06 eV/atom

abc: 6.590 6.590 6.590
angles: 90.00 90.00 90.00
Space group F-43m (No. 216)
One atom of each set of equivalent atoms:
Li  0.125  0.125  0.125
Ru  0.250  0.250  0.750
Rh  0.000  0.000  0.500

***

A relaxed Li2RhS2 crystal. Source: Alexandria via LeMat-Bulk, functional PBEsol.

## Properties
**Total magnetic moment**: 2.0 Bohr magnetons per cell
**Theoretical density**: 4.4 g cm⁻³
**Total energy**: -4.32 eV/atom

abc: 4.429 4.429 7.010
angles: 90.00 90.00 90.00
Space group I4/mmm (No. 139)
One atom of each set of equivalent atoms:
Li  0.000  0.000  0.155
Rh  0.000  0.000  0.500
S  0.000  0.500  0.250

***

A relaxed Li2SbRh crystal. Source: Alexandria via LeMat-Bulk, functional PBEsol.

## Properties
**Total magnetic moment**: 0.0 Bohr magnetons per cell
**Theoretical density**: 6.2 g cm⁻³
**Total energy**: -4.45 eV/atom

abc: 3.024 4.453 4.826
angles: 90.00 101.57 90.00
Space group P2/m (No. 10)
One atom of each set of equivalent atoms:
Li  0.221  0.000  0.271
Sb  0.500  0.500  0.000
Rh  0.000  0.500  0.500

***

A relaxed Li2SbRh crystal. Source: Alexandria via LeMat-Bulk, functional PBEsol.

## Properties
**Total magnetic moment**: 0.0 Bohr magnetons per cell
**Theoretical density**: 6.5 g cm⁻³
**Total energy**: -4.58 eV/atom

abc: 3.795 3.795 8.476
angles: 90.00 90.00 90.00
Space group I4/mmm (No. 139)
One atom of each set of equivalent atoms:
Li  0.000  0.500  0.250
Sb  0.000  0.000  0.000
Rh  0.000  0.000  0.500

***

A relaxed Li2SbRh crystal. Source: Alexandria via LeMat-Bulk, functional PBEsol.

## Properties
**Total magnetic moment**: 0.0 Bohr magnetons per cell
**Theoretical density**: 5.9 g cm⁻³
**Total energy**: -4.16 eV/atom

abc: 2.9639 2.9639 26.3761
angles: 90.00 90.00 120.00
Space group R-3m (No. 166, hexagonal axes)
One atom of each set of equivalent atoms:
Li  0.0000  0.0000  0.2414
Sb  0.0000  0.0000  0.0000
Rh  0.0000  0.0000  0.5000

***

A relaxed Li4SbRh crystal. Source: Alexandria via LeMat-Bulk, functional PBEsol.

## Properties
**Total magnetic moment**: 0.1 Bohr magnetons per cell
**Theoretical density**: 5.2 g cm⁻³
**Total energy**: -3.64 eV/atom

abc: 6.837 6.837 6.837
angles: 90.00 90.00 90.00
Space group F-43m (No. 216)
One atom of each set of equivalent atoms:
Li  0.123  0.123  0.377
Sb  0.000  0.000  0.000
Rh  0.250  0.250  0.750

***

A relaxed Li2SbRh crystal. Source: Alexandria via LeMat-Bulk, functional PBEsol.

## Properties
**Total magnetic moment**: 0.0 Bohr magnetons per cell
**Theoretical density**: 6.3 g cm⁻³
**Total energy**: -4.44 eV/atom

abc: 3.004 4.023 5.195
angles: 90.00 90.00 90.00
Space group Pmmm (No. 47)
One atom of each set of equivalent atoms:
Li  0.000  0.000  0.227
Sb  0.500  0.500  0.500
Rh  0.500  0.500  0.000

***

A relaxed Li3SbRh crystal. Source: Alexandria via LeMat-Bulk, functional PBEsol.

## Properties
**Total magnetic moment**: 0.0 Bohr magnetons per cell
**Theoretical density**: 4.5 g cm⁻³
**Total energy**: -3.44 eV/atom

abc: 4.480 4.480 4.480
angles: 90.00 90.00 90.00
Space group Pm-3m (No. 221)
One atom of each set of equivalent atoms:
Li  0.000  0.000  0.500
Sb  0.500  0.500  0.500
Rh  0.000  0.000  0.000

***

A relaxed Li2SbRh crystal. Source: Alexandria via LeMat-Bulk, functional PBEsol.

## Properties
**Total magnetic moment**: 0.0 Bohr magnetons per cell
**Theoretical density**: 6.2 g cm⁻³
**Total energy**: -4.53 eV/atom

abc: 3.181 3.516 5.719
angles: 90.00 90.00 90.00
Space group Pmm2 (No. 25)
One atom of each set of equivalent atoms:
Li  0.000  0.000  0.000
Li  0.500  0.500  0.241
Sb  0.500  0.500  0.714
Rh  0.000  0.000  0.497

***

A relaxed LiScRh2 crystal. Source: Alexandria via LeMat-Bulk, functional PBEsol.

## Properties
**Total magnetic moment**: 0.0 Bohr magnetons per cell
**Theoretical density**: 7.6 g cm⁻³
**Energy of formation**: -11.7 kcal/mol of atoms
**Total energy**: -6.72 eV/atom

abc: 3.104 3.104 5.874
angles: 90.00 90.00 90.00
Space group P4/mmm (No. 123)
One atom of each set of equivalent atoms:
Li  0.000  0.000  0.000
Sc  0.000  0.000  0.500
Rh  0.500  0.500  0.234

***

A relaxed LiScRh2 crystal. Source: Alexandria via LeMat-Bulk, functional PBEsol.

## Properties
**Total magnetic moment**: 0.0 Bohr magnetons per cell
**Theoretical density**: 7.6 g cm⁻³
**Energy of formation**: -12.3 kcal/mol of atoms
**Total energy**: -6.75 eV/atom

abc: 6.095 6.095 6.095
angles: 90.00 90.00 90.00
Space group Fm-3m (No. 225)
One atom of each set of equivalent atoms:
Li  0.000  0.000  0.000
Sc  0.000  0.000  0.500
Rh  0.250  0.250  0.250

***

A relaxed LiScRh2 crystal. Source: Alexandria via LeMat-Bulk, functional PBEsol.

## Properties
**Total magnetic moment**: 0.0 Bohr magnetons per cell
**Theoretical density**: 7.3 g cm⁻³
**Energy of formation**: -9.4 kcal/mol of atoms
**Total energy**: -6.62 eV/atom

abc: 3.152 4.172 8.855
angles: 90.00 90.00 90.00
Space group Imm2 (No. 44)
One atom of each set of equivalent atoms:
Li  0.000  0.000  0.000
Sc  0.000  0.500  0.230
Rh  0.000  0.000  0.485
Rh  0.000  0.500  0.743

***

A relaxed Li2ScRh crystal. Source: Alexandria via LeMat-Bulk, functional PBEsol.

## Properties
**Total magnetic moment**: 0.0 Bohr magnetons per cell
**Theoretical density**: 4.1 g cm⁻³
**Energy of formation**: -5.1 kcal/mol of atoms
**Total energy**: -4.89 eV/atom

abc: 3.085 4.922 4.289
angles: 90.00 94.63 90.00
Space group P2/m (No. 10)
One atom of each set of equivalent atoms:
Li  0.220  0.000  0.283
Sc  0.500  0.500  0.000
Rh  0.000  0.500  0.500

***

A relaxed LiScTaRh2 crystal. Source: Alexandria via LeMat-Bulk, functional PBEsol.

## Properties
**Total magnetic moment**: 0.0 Bohr magnetons per cell
**Theoretical density**: 6.6 g cm⁻³
**Energy of formation**: 15.9 kcal/mol of atoms
**Total energy**: -6.79 eV/atom

abc: 4.683 4.683 5.060
angles: 90.00 90.00 90.00
Space group P4/mmm (No. 123)
One atom of each set of equivalent atoms:
Li  0.000  0.000  0.000
Sc  0.500  0.500  0.000
Ta  0.500  0.500  0.500
Rh  0.000  0.500  0.500

***

A relaxed LiRhSe3 crystal. Source: Alexandria via LeMat-Bulk, functional PBEsol.

## Properties
**Total magnetic moment**: 0.0 Bohr magnetons per cell
**Theoretical density**: 5.0 g cm⁻³
**Total energy**: -4.29 eV/atom

abc: 4.873 4.873 4.873
angles: 90.00 90.00 90.00
Space group Pm-3m (No. 221)
One atom of each set of equivalent atoms:
Li  0.000  0.000  0.000
Rh  0.500  0.500  0.500
Se  0.000  0.500  0.500

***

A relaxed Li2RhSe crystal. Source: Alexandria via LeMat-Bulk, functional PBEsol.

## Properties
**Total magnetic moment**: 0.0 Bohr magnetons per cell
**Theoretical density**: 5.5 g cm⁻³
**Total energy**: -4.53 eV/atom

abc: 7.971 3.680 4.603
angles: 90.00 118.29 90.00
Space group Cm (No. 8)
One atom of each set of equivalent atoms:
Li  0.000  0.000  0.000
Li  0.218  0.000  0.725
Rh  0.285  0.500  0.350
Se  0.485  0.000  0.364

***

A relaxed Li2RhSe crystal. Source: Alexandria via LeMat-Bulk, functional PBEsol.

## Properties
**Total magnetic moment**: 0.0 Bohr magnetons per cell
**Theoretical density**: 5.7 g cm⁻³
**Total energy**: -4.24 eV/atom

abc: 2.8350 2.8350 24.7378
angles: 90.00 90.00 120.00
Space group R-3m (No. 166, hexagonal axes)
One atom of each set of equivalent atoms:
Li  0.0000  0.0000  0.2488
Rh  0.0000  0.0000  0.5000
Se  0.0000  0.0000  0.0000

***

A relaxed Li2RhSe crystal. Source: Alexandria via LeMat-Bulk, functional PBEsol.

## Properties
**Total magnetic moment**: 0.0 Bohr magnetons per cell
**Theoretical density**: 5.6 g cm⁻³
**Total energy**: -4.32 eV/atom

abc: 3.041 3.585 5.351
angles: 90.00 90.00 90.00
Space group Pmm2 (No. 25)
One atom of each set of equivalent atoms:
Li  0.000  0.000  0.000
Li  0.500  0.500  0.260
Rh  0.000  0.000  0.523
Se  0.500  0.500  0.722